First-principles (PBE) data for an optimized crystal structure of Ba4TlPd, as listed in Alexandria via LeMat-Bulk.

Computed properties:
crystal system = monoclinic
DOS(E_F) = 0.9941 states/eV/atom
energy of formation from the pure elements = -320 meV per atom
SG = C2/c

Unit cell a=9.378 b=9.378 c=7.551 alpha=106.65 beta=106.65 gamma=111.06
Element x y z (fractional)
Ba 0.054 0.710 0.917
Ba 0.225 0.353 0.708
Ba 0.290 0.946 0.583
Ba 0.353 0.225 0.208
Ba 0.647 0.775 0.792
Ba 0.710 0.054 0.417
Ba 0.775 0.647 0.292
Ba 0.946 0.290 0.083
Tl 0.366 0.634 0.250
Tl 0.634 0.366 0.750
Pd 0.000 0.000 0.250
Pd 0.000 0.000 0.750